Entry 1:
Entry from Alexandria: a relaxed La3Ce4PmS8 crystal (PBE).

Final energy: -6.8527 eV/atom
Volume: 23.97 Å³ per atom
Raw formation energy: -3218.3 kJ/mol of formula units
Spin magnetization: 2.92 μB per cell

Unit cell a=8.1617 b=8.1617 c=8.1617 alpha=59.89 beta=59.89 gamma=59.89
Positions (direct):
La1 0.0000 0.5000 0.5000
La2 0.5000 0.0000 0.5000
La3 0.5000 0.5000 0.0000
Ce1 0.0000 0.0000 0.5000
Ce2 0.0000 0.5000 0.0000
Ce3 0.5000 0.0000 0.0000
Ce4 0.5000 0.5000 0.5000
Pm1 0.0000 0.0000 0.0000
S1 0.2440 0.7503 0.7503
S2 0.2472 0.2472 0.2472
S3 0.2497 0.2497 0.7560
S4 0.2497 0.7560 0.2497
S5 0.7503 0.2440 0.7503
S6 0.7503 0.7503 0.2440
S7 0.7528 0.7528 0.7528
S8 0.7560 0.2497 0.2497

Entry 2:
Entry from Alexandria: a relaxed Pr2Co2Ge3 crystal (PBE).

Final energy: -5.9020 eV/atom
Energy of formation from the pure elements: -0.527 eV per atom
Volume: 19.15 Å³ per atom
Spin magnetization: 2.50 μB per cell

Unit cell a=9.3347 b=9.3347 c=6.8863 alpha=90.00 beta=90.00 gamma=153.46
Positions (direct):
Pr1 0.0528 0.9472 0.7500
Pr2 0.1608 0.8392 0.2500
Pr3 0.8392 0.1608 0.7500
Pr4 0.9472 0.0528 0.2500
Co1 0.3042 0.6958 0.0621
Co2 0.3042 0.6958 0.4379
Co3 0.6958 0.3042 0.5621
Co4 0.6958 0.3042 0.9379
Ge1 0.2221 0.7779 0.7500
Ge2 0.4330 0.5670 0.5619
Ge3 0.4330 0.5670 0.9381
Ge4 0.5670 0.4330 0.0619
Ge5 0.5670 0.4330 0.4381
Ge6 0.7779 0.2221 0.2500

Entry 3:
Entry from Alexandria: a relaxed TlHgSN2 crystal (PBE).

Final energy: -2.9407 eV/atom
Volume: 21.62 Å³ per atom
Raw formation energy: 843.5 kJ/mol of formula units
Excess energy over the best structure of this formula in the dataset: 87 meV per atom
Spin magnetization: 3.34 μB per cell

Unit cell a=4.3366 b=4.3366 c=5.7492 alpha=90.00 beta=90.00 gamma=90.00
Positions (direct):
Tl1 0.0000 0.0000 0.0000
Hg1 0.5000 0.5000 0.5000
S1 0.0000 0.0000 0.5000
N1 0.0000 0.5000 0.0000
N2 0.5000 0.0000 0.0000

Entry 4:
Entry from Alexandria: a relaxed CdTe3 crystal (PBE).

Final energy: -2.7111 eV/atom
Volume: 30.87 Å³ per atom
Raw formation energy: -48.6 kJ/mol of formula units
Spin magnetization: 0.00 μB per cell

Unit cell a=4.3944 b=6.3935 c=4.3945 alpha=90.00 beta=90.00 gamma=90.00
Positions (direct):
Cd1 0.0000 0.0000 0.0000
Te1 0.0000 0.5000 0.0013
Te2 0.5000 0.0000 0.5012
Te3 0.5000 0.5000 0.5013

Entry 5:
Entry from Alexandria: a relaxed InAgW crystal (PBE).

Final energy: -4.9449 eV/atom
Energy of formation from the pure elements: 1.236 eV per atom
Volume: 21.25 Å³ per atom
Excess energy over the best structure of this formula in the dataset: 720 meV per atom
Spin magnetization: 1.90 μB per cell

Unit cell a=4.4839 b=4.4839 c=4.4839 alpha=60.00 beta=60.00 gamma=60.00
Positions (direct):
In1 0.0000 0.0000 0.0000
Ag1 0.2500 0.2500 0.2500
W1 0.5000 0.5000 0.5000

Entry 6:
Entry from Alexandria: a relaxed HWBr3 crystal (PBE).

Final energy: -3.6987 eV/atom
Volume: 27.33 Å³ per atom
Excess energy over the best structure of this formula in the dataset: 371 meV per atom
Spin magnetization: 3.75 μB per cell

Unit cell a=5.1507 b=5.1507 c=5.1507 alpha=90.00 beta=90.00 gamma=90.00
Positions (direct):
H1 0.0000 0.0000 0.0000
W1 0.5000 0.5000 0.5000
Br1 0.0000 0.5000 0.5000
Br2 0.5000 0.0000 0.5000
Br3 0.5000 0.5000 0.0000